No. 1
VASP calculation (GGA-PBE) on a relaxed YTl2Pt2 crystal.

a b c (Å): 7.308 7.308 4.266
angles (deg): 90.00 90.00 90.00
Sites, in units of the cell vectors:
Tl: 0.174 0.674 0.500
Pt: 0.370 0.870 0.000
Pt: 0.130 0.370 0.000
Pt: 0.630 0.130 0.000
Tl: 0.826 0.326 0.500
Pt: 0.870 0.630 0.000
Y: 0.500 0.500 0.000
Tl: 0.674 0.826 0.500
Y: 0.000 0.000 0.000
Tl: 0.326 0.174 0.500

Values from the calculation:
* offset from the most stable computed form: 2.2 kJ per mole of atoms
* energy: -50.3 eV for the cell shown
* formation enthalpy at 0 K: -0.3775 eV/atom

=====

No. 2
VASP calculation (GGA-PBE) on a relaxed Mg3Al5Se12 crystal.

a b c (Å): 13.493 13.493 13.493
angles (deg): 109.47 109.47 109.47
Sites, in units of the cell vectors:
Se: 0.288 0.875 0.964
Al: 0.625 0.750 0.875
Al: 0.000 0.000 0.000
Al: 0.250 0.375 0.625
Se: 0.176 0.088 0.712
Al: 0.750 0.625 0.375
Mg: 0.625 0.375 0.750
Se: 0.875 0.288 0.464
Mg: 0.875 0.750 0.125
Al: 0.875 0.250 0.625
Se: 0.375 0.412 0.088
Mg: 0.250 0.125 0.375
Al: 0.500 0.000 0.500
Se: 0.788 0.464 0.375
Se: 0.788 0.324 0.912
Se: 0.875 0.588 0.912
Al: 0.375 0.250 0.125
Se: 0.625 0.036 0.212
Se: 0.375 0.964 0.788
Al: 0.500 0.500 0.000
Mg: 0.875 0.125 0.250
Al: 0.125 0.375 0.250
Se: 0.712 0.588 0.176
Se: 0.588 0.964 0.676
Se: 0.964 0.375 0.288
Se: 0.125 0.412 0.088
Se: 0.712 0.125 0.036
Se: 0.412 0.125 0.588
Al: 0.625 0.875 0.250
Se: 0.176 0.088 0.964
Se: 0.536 0.324 0.912
Al: 0.500 0.000 0.000
Se: 0.288 0.412 0.824
Al: 0.375 0.125 0.750
Se: 0.324 0.536 0.412
Se: 0.088 0.912 0.125
Se: 0.036 0.412 0.824
Al: 0.750 0.125 0.875
Se: 0.125 0.712 0.536
Mg: 0.125 0.250 0.875
Se: 0.536 0.212 0.125
Se: 0.088 0.176 0.464
Se: 0.676 0.464 0.588
Se: 0.412 0.375 0.588
Al: 0.000 0.500 0.000
Al: 0.250 0.875 0.125
Se: 0.088 0.912 0.375
Mg: 0.625 0.250 0.375
Al: 0.125 0.750 0.375
Se: 0.588 0.712 0.676
Mg: 0.750 0.875 0.625
Se: 0.464 0.676 0.088
Se: 0.912 0.088 0.625
Al: 0.000 0.000 0.500
Se: 0.588 0.625 0.412
Al: 0.000 0.500 0.500
Al: 0.500 0.500 0.500
Se: 0.912 0.088 0.875
Mg: 0.750 0.375 0.125
Se: 0.412 0.036 0.324
Al: 0.875 0.625 0.750
Se: 0.036 0.625 0.712
Mg: 0.125 0.875 0.750
Se: 0.412 0.288 0.324
Se: 0.964 0.588 0.176
Mg: 0.375 0.625 0.250
Se: 0.625 0.588 0.912
Se: 0.912 0.824 0.536
Se: 0.464 0.788 0.875
Se: 0.912 0.824 0.788
Se: 0.676 0.212 0.588
Se: 0.212 0.536 0.625
Se: 0.212 0.676 0.088
Mg: 0.375 0.750 0.625
Se: 0.088 0.176 0.212
Se: 0.588 0.875 0.412
Se: 0.824 0.912 0.036
Se: 0.324 0.788 0.412
Se: 0.824 0.912 0.288
Mg: 0.250 0.625 0.875

Values from the calculation:
* energy: -316.9 eV for the cell shown
* energy relative to the elements, uncorrected: -695 meV per atom

=====

No. 3
VASP calculation (GGA-PBE) on a relaxed ZnCo2Br crystal.

a b c (Å): 3.292 3.550 6.313
angles (deg): 74.04 90.00 90.00
Last column: magnetic moment on the atom in μB.
Sites, in units of the cell vectors:
Co: 0.000 0.861 0.151  1.70
Br: 0.500 0.037 0.798  0.06
Zn: 0.000 0.224 0.433  -0.05
Co: 0.500 0.379 0.117  1.74

Values from the calculation:
* offset from the most stable computed form: 6.9 kJ per mole of atoms
* energy: -15.8 eV for the cell shown
* energy relative to the elements, uncorrected: 342 meV per atom